# TaInIr2

TaInIr2 after structural relaxation (PBE, Alexandria via LeMat-Bulk).

Values from the calculation:
DFT formation energy = 0.176 eV/atom
Total magnetic moment = 0.000 Bohr magnetons per cell
Electronic total energy = -7.902 eV per atom
Space group = I-42d (122)

Cell: 7.2739 7.2739 5.8899 Å, 51.87 51.87 90.00°
With the nearest neighbours (Å) after each atom.
Positions (direct):
Ir  0.3750  0.3431  0.7500  2 Ta 2.52
Ir  0.6569  0.1250  0.2500  2 Ta 2.52
Ir  0.8750  0.9069  0.7500  2 Ta 2.52
Ir  0.0931  0.6250  0.2500  2 Ta 2.52
In  0.2500  0.7500  0.5000  4 Ir 2.83, 2 Ta 2.87
In  0.5000  0.5000  0.0000  4 Ir 2.83, 2 Ta 2.87
Ta  0.0000  0.0000  0.0000  4 Ir 2.52
Ta  0.7500  0.2500  0.5000  4 Ir 2.52


# TaInIr2

TaInIr2 after structural relaxation (PBE, Alexandria via LeMat-Bulk).

Values from the calculation:
DFT formation energy = -0.055 eV/atom
Total magnetic moment = 0.000 Bohr magnetons per cell
Electronic total energy = -8.133 eV per atom
Space group = P4mm (99)

Cell: 3.5572 3.5572 5.5467 Å, 90.00 90.00 90.00°
With the nearest neighbours (Å) after each atom.
Positions (direct):
Ir  0.0000  0.0000  0.9766  2 Ta 2.65-2.89, 4 In 2.74
Ir  0.5000  0.5000  0.2859  4 Ta 2.68, 2 In 2.75-2.79
In  0.5000  0.5000  0.7825  6 Ir 2.74-2.79
Ta  0.0000  0.0000  0.4549  6 Ir 2.65-2.89


# TaInIr2

TaInIr2 after structural relaxation (PBE, Alexandria via LeMat-Bulk).

Values from the calculation:
DFT formation energy = -0.163 eV/atom
Total magnetic moment = 0.000 Bohr magnetons per cell
Electronic total energy = -8.241 eV per atom
Space group = R-3m (166)

Cell: 9.0902 9.0902 9.0902 Å, 18.77 18.77 18.77°
With the nearest neighbours (Å) after each atom.
Positions (direct):
Ir  0.0039  0.0039  0.0039  3 Ta 2.73, 3 In 2.90, 6 Ir 2.96
Ir  0.4961  0.4961  0.4961  3 Ta 2.73, 3 In 2.90, 6 Ir 2.96
Ta  0.7500  0.7500  0.7500  6 Ir 2.73, 6 Ta 2.96
In  0.2500  0.2500  0.2500  6 Ir 2.90, 6 In 2.96


# TaInIr2

TaInIr2 after structural relaxation (PBE, Alexandria via LeMat-Bulk).

Values from the calculation:
DFT formation energy = -0.221 eV/atom
Total magnetic moment = 0.000 Bohr magnetons per cell
Electronic total energy = -8.300 eV per atom
Space group = Cm (8)

Cell: 5.0466 5.0466 4.7950 Å, 79.20 79.20 34.32°
With the nearest neighbours (Å) after each atom.
Positions (direct):
Ta  0.4885  0.4885  0.5528  7 Ir 2.71-2.90, 2 Ta 2.98, 1 In 3.03
Ir  0.7514  0.7514  0.7080  3 Ta 2.71-2.78, 4 In 2.80-2.84, 4 Ir 2.97-2.98
Ir  0.0046  0.0046  0.0284  3 In 2.73-2.81, 4 Ta 2.75-2.90, 4 Ir 2.97-2.98
In  0.2556  0.2556  0.2108  7 Ir 2.73-2.84, 2 In 2.98, 1 Ta 3.03


# Ta2InIr

Ta2InIr after structural relaxation (PBE, Alexandria via LeMat-Bulk).

Values from the calculation:
DFT formation energy = 0.006 eV/atom
Total magnetic moment = 0.000 Bohr magnetons per cell
Electronic total energy = -8.820 eV per atom
Space group = I-4m2 (119)

Cell: 5.2667 5.2667 5.2667 Å, 135.40 135.40 64.92°
With the nearest neighbours (Å) after each atom.
Positions (direct):
In  0.5000  0.5000  0.0000  8 Ta 2.83-2.99, 4 Ir 2.99
Ta  0.2500  0.7500  0.5000  4 Ir 2.83, 4 Ta 2.99, 4 In 2.99
Ta  0.0000  0.0000  0.0000  4 In 2.83, 4 Ir 2.99, 4 Ta 2.99
Ir  0.7500  0.2500  0.5000  8 Ta 2.83-2.99, 4 In 2.99


# TaInIr2

TaInIr2 after structural relaxation (PBE, Alexandria via LeMat-Bulk).

Values from the calculation:
DFT formation energy = -0.221 eV/atom
Total magnetic moment = 0.000 Bohr magnetons per cell
Electronic total energy = -8.300 eV per atom
Space group = Pmm2 (25)

Cell: 4.7091 2.9629 4.7971 Å, 89.98 90.00 90.00°
With the nearest neighbours (Å) after each atom.
Positions (direct):
In  0.5000  0.6252  0.8303  8 Ir 2.79-2.85, 2 In 2.96, 2 Ta 3.06
Ir  0.5000  0.1248  0.3221  4 In 2.79-2.85, 4 Ta 2.82, 4 Ir 2.96-3.03
Ir  0.0000  0.1252  0.9254  4 Ta 2.81-2.83, 4 In 2.82, 4 Ir 2.96-3.03
Ta  0.0000  0.6248  0.4221  8 Ir 2.81-2.83, 2 Ta 2.96, 2 In 3.06


Question: Which value of DFT formation energy does entry 5 give?
Answer: 0.006 eV/atom


Question: What is the formula in the sixth record?
Answer: TaInIr2